1.
VASP calculation (PBE) on a geometry-optimized PmTcB3 structure.

Properties
Energy of formation from the pure elements: -0.4 eV per formula unit
SG: C2/c (15)

Cell lengths 4.6961, 5.8470, 5.9988 Å; angles 82.90, 72.08, 66.32 degrees
Element x y z (fractional)
B 0.8877 0.2247 0.2500
B 0.3982 0.7944 0.5251
B 0.1123 0.7753 0.7500
B 0.8074 0.7944 0.9749
B 0.6018 0.2056 0.4749
B 0.1926 0.2056 0.0251
Pm 0.1711 0.6579 0.2500
Pm 0.8289 0.3421 0.7500
Tc 0.4802 0.0396 0.2500
Tc 0.5198 0.9604 0.7500

---

2.
VASP calculation (PBE) on a geometry-optimized HRhBr3 structure.

Properties
SG: Pm-3m (221)

Cell lengths 5.0894, 5.0894, 5.0894 Å; angles 90.00, 90.00, 90.00 degrees
Last column: magnetic moment on the atom in μB.
Element x y z (fractional)
Br 0.5000 0.0000 0.0000  0.23
Br 0.0000 0.5000 0.0000  0.07
Br 0.0000 0.0000 0.5000  0.03
H 0.5000 0.5000 0.5000  0.37
Rh 0.0000 0.0000 0.0000  0.52

---

3.
VASP calculation (PBE) on a geometry-optimized Ti2NbSb2 structure.

Properties
SG: Ibam (72)

Cell lengths 5.5528, 7.1721, 7.0877 Å; angles 120.39, 113.06, 90.00 degrees
Element x y z (fractional)
Ti 0.3416 0.6611 0.6833
Ti 0.8416 0.0222 0.6833
Ti 0.1584 0.9778 0.3167
Ti 0.6584 0.3389 0.3167
Sb 0.1073 0.3011 0.2145
Sb 0.3927 0.0866 0.7855
Sb 0.6073 0.9134 0.2145
Sb 0.8927 0.6989 0.7855
Nb 0.7500 0.5000 0.0000
Nb 0.2500 0.5000 0.0000

---

4.
VASP calculation (PBE) on a geometry-optimized Pm11Sm4Y9 structure.

Properties
Energy of formation from the pure elements: 1.2 eV per formula unit
SG: Cmmm (65)

Cell lengths 3.7163, 15.3768, 15.3768 Å; angles 112.77, 90.00, 90.00 degrees
Element x y z (fractional)
Pm 0.0000 0.5915 0.9536
Pm 0.0000 0.1588 0.8412
Pm 0.0000 0.0000 0.0000
Pm 0.0000 0.0464 0.4085
Pm 0.0000 0.2919 0.2919
Pm 0.0000 0.7081 0.7081
Pm 0.0000 0.8412 0.1588
Pm 0.0000 0.6334 0.3666
Pm 0.0000 0.9536 0.5915
Pm 0.0000 0.4085 0.0464
Pm 0.0000 0.3666 0.6334
Y 0.5000 0.7870 0.9331
Y 0.5000 0.9331 0.7870
Y 0.5000 0.3661 0.8372
Y 0.5000 0.0669 0.2130
Y 0.5000 0.6339 0.1628
Y 0.5000 0.2130 0.0669
Y 0.5000 0.5000 0.5000
Y 0.5000 0.8372 0.3661
Y 0.5000 0.1628 0.6339
Sm 0.5000 0.4461 0.2445
Sm 0.5000 0.2445 0.4461
Sm 0.5000 0.7555 0.5539
Sm 0.5000 0.5539 0.7555

---

5.
VASP calculation (PBE) on a geometry-optimized RbNbTeBr structure.

Properties
SG: R3m (160)

Cell lengths 3.8451, 3.8451, 26.9324 Å; angles 90.00, 90.00, 120.00 degrees
Element x y z (fractional)
Br 0.6667 0.3333 0.2499
Br 0.0000 0.0000 0.9165
Br 0.3333 0.6667 0.5832
Rb 0.3333 0.6667 0.3471
Rb 0.6667 0.3333 0.0138
Rb 0.0000 0.0000 0.6804
Te 0.3333 0.6667 0.1173
Te 0.0000 0.0000 0.4505
Te 0.6667 0.3333 0.7838
Nb 0.3333 0.6667 0.8467
Nb 0.6667 0.3333 0.5134
Nb 0.0000 0.0000 0.1801

---

6.
VASP calculation (PBE) on a geometry-optimized VAg7Se6 structure.

Properties
SG: Ibam (72)

Cell lengths 5.9901, 11.2357, 11.2357 Å; angles 71.05, 74.54, 74.54 degrees
Element x y z (fractional)
Ag 0.9694 0.3325 0.8479
Ag 0.4694 0.3479 0.8325
Ag 0.8088 0.0783 0.9217
Ag 0.1912 0.9217 0.0783
Ag 0.3502 0.8325 0.3479
Ag 0.2500 0.2500 0.2500
Ag 0.1498 0.1521 0.6675
Ag 0.6498 0.1675 0.6521
Ag 0.6912 0.5783 0.4217
Ag 0.5306 0.6521 0.1675
Ag 0.3088 0.4217 0.5783
Ag 0.0306 0.6675 0.1521
Ag 0.8502 0.8479 0.3325
Ag 0.7500 0.7500 0.7500
Se 0.9614 0.9372 0.7256
Se 0.3120 0.1200 0.8800
Se 0.1880 0.6200 0.3800
Se 0.4614 0.2256 0.4372
Se 0.0386 0.0628 0.2744
Se 0.6243 0.2744 0.0628
Se 0.6880 0.8800 0.1200
Se 0.3757 0.7256 0.9372
Se 0.1243 0.5628 0.7744
Se 0.8757 0.4372 0.2256
Se 0.5386 0.7744 0.5628
Se 0.8120 0.3800 0.6200
V 0.7500 0.2500 0.2500
V 0.2500 0.7500 0.7500

---

7.
VASP calculation (PBE) on a geometry-optimized TiTc2H2 structure.

Properties
SG: I4/mmm (139)

Cell lengths 3.6235, 3.6235, 4.9848 Å; angles 68.69, 68.69, 90.00 degrees
Element x y z (fractional)
H 0.3650 0.3650 0.2700
H 0.6350 0.6350 0.7300
Tc 0.2500 0.7500 0.5000
Tc 0.7500 0.2500 0.5000
Ti 0.0000 0.0000 0.0000

---

8.
VASP calculation (PBE) on a geometry-optimized TmPu5As6 structure.

Properties
Energy of formation from the pure elements: -13.2 eV per formula unit
SG: C2/m (12)

Cell lengths 7.1430, 7.1430, 7.1423 Å; angles 60.00, 80.41, 70.53 degrees
Last column: magnetic moment on the atom in μB.
Element x y z (fractional)
As 0.7508 0.0830 0.3328  -0.14
As 0.7504 0.7505 0.0000  -0.14
As 0.2492 0.5842 0.3328  -0.14
As 0.2496 0.2495 0.0000  -0.14
As 0.7508 0.4158 0.6672  -0.14
As 0.2492 0.9170 0.6672  -0.14
Pu 0.5000 0.8334 0.3332  5.01
Pu 0.0000 0.6666 0.6668  4.99
Pu 0.5000 0.1666 0.6668  5.01
Pu 0.0000 0.3334 0.3332  4.99
Pu 0.5000 0.5000 0.0000  5.01
Tm 0.0000 0.0000 0.0000  -0.07

---

Number 1: DFT total energy -7.115 eV/atom. Number 2: DFT total energy -2.661 eV/atom. Number 3: DFT total energy -6.938 eV/atom. Number 4: DFT total energy -5.338 eV/atom. Number 5: DFT total energy -4.386 eV/atom. Number 6: DFT total energy -3.697 eV/atom. Number 7: DFT total energy -6.809 eV/atom. Number 8: DFT total energy -9.769 eV/atom.